w:
First-principles (GGA+U) data for a relaxed PrMn2O6 crystal, as listed in the Alexandria database.

Calculated values
ρ in g cm⁻³: 5.077
Density of states at the Fermi level in states/eV/cell: 6.2

Cell lengths 5.1674, 5.0345, 5.0345 Å; angles 120.00, 90.00, 90.00 degrees
With the nearest neighbours (Å) after each atom.
Fractional coordinates of all 9 atoms:
1 O 0.7073 0.6266 0.6266  2 Mn 1.91
2 O 0.7073 0.0000 0.3734  2 Mn 1.91
3 O 0.7073 0.3734 0.0000  2 Mn 1.91
4 O 0.2927 0.6266 0.0000  2 Mn 1.91
5 O 0.2927 0.0000 0.6266  2 Mn 1.91
6 O 0.2927 0.3734 0.3734  2 Mn 1.91
7 Mn 0.5000 0.6667 0.3333  6 O 1.91
8 Mn 0.5000 0.3333 0.6667  6 O 1.91
9 Pr 0.0000 0.0000 0.0000  6 O 2.41

---

x:
First-principles (GGA+U) data for a relaxed PrMn2O6 crystal, as listed in the Alexandria database.

Calculated values
ρ in g cm⁻³: 5.305
Density of states at the Fermi level in states/eV/cell: 5.8

Cell lengths 5.3767, 5.3501, 7.5476 Å; angles 90.00, 90.00, 90.00 degrees
With the nearest neighbours (Å) after each atom.
Fractional coordinates of all 18 atoms:
1 Pr 0.0064 0.7299 0.0000  6 O 2.41-2.56
2 Pr 0.5064 0.2701 0.5000  6 O 2.41-2.56
3 Mn 0.5039 0.7548 0.7492  6 O 1.89-1.94
4 Mn 0.5039 0.7548 0.2508  6 O 1.89-1.94
5 Mn 0.0039 0.2452 0.2492  6 O 1.89-1.94
6 Mn 0.0039 0.2452 0.7508  6 O 1.89-1.94
7 O 0.7652 0.5148 0.2780  2 Mn 1.91-1.94
8 O 0.2652 0.4852 0.7780  2 Mn 1.91-1.94
9 O 0.7316 0.0195 0.2814  2 Mn 1.89-1.91
10 O 0.2652 0.4852 0.2220  2 Mn 1.91-1.94
11 O 0.9438 0.2547 0.0000  2 Mn 1.91
12 O 0.5586 0.7522 0.0000  2 Mn 1.92
13 O 0.2316 0.9805 0.2186  2 Mn 1.89-1.91
14 O 0.0586 0.2478 0.5000  2 Mn 1.92
15 O 0.2316 0.9805 0.7814  2 Mn 1.89-1.91
16 O 0.4438 0.7453 0.5000  2 Mn 1.91
17 O 0.7316 0.0195 0.7186  2 Mn 1.89-1.91
18 O 0.7652 0.5148 0.7220  2 Mn 1.91-1.94

---

Which structure loses on stability? x does.

---

w:
First-principles (GGA+U) data for a relaxed MnSnPtO crystal, as listed in the Alexandria database.

Calculated values
ρ in g cm⁻³: 9.940
Density of states at the Fermi level in states/eV/cell: 2.4

Cell lengths 8.0062, 3.1221, 5.6671 Å; angles 90.00, 114.85, 90.00 degrees
With the nearest neighbours (Å) after each atom.
Fractional coordinates of all 8 atoms:
1 O 0.9231 0.5000 0.0562  3 Mn 2.15-2.17
2 O 0.9231 0.0000 0.5562  3 Mn 2.15-2.17
3 Mn 0.7673 0.0000 0.1408  3 O 2.15-2.17
4 Mn 0.7673 0.5000 0.6408  3 O 2.15-2.17
5 Sn 0.1848 0.0000 0.1508  2 O 2.48
6 Sn 0.1848 0.5000 0.6508  2 O 2.48
7 Pt 0.4797 0.5000 0.1415  3 Mn 2.78-2.80, 3 Sn 2.79-2.85
8 Pt 0.4797 0.0000 0.6415  3 Mn 2.78-2.80, 3 Sn 2.79-2.85

---

x:
First-principles (GGA+U) data for a relaxed MnSnPtO crystal, as listed in the Alexandria database.

Calculated values
ρ in g cm⁻³: 9.469
Density of states at the Fermi level in states/eV/cell: 0.5

Cell lengths 3.2946, 3.2939, 7.4276 Å; angles 90.00, 77.17, 59.99 degrees
With the nearest neighbours (Å) after each atom.
Fractional coordinates of all 4 atoms:
1 Sn 0.6885 0.4063 0.7965  1 O 2.11
2 O 0.4929 0.5044 0.0907  1 Sn 2.11, 3 Mn 2.16
3 Pt 0.5363 0.9825 0.5248  3 Sn 2.72-2.73, 3 Mn 2.83
4 Mn 0.0643 0.2185 0.2330  3 O 2.16

---

Which structure loses on stability? w does.